The following is a DFT calculation (PBE-GGA) of a relaxed structure of La2Nd8Zn.

a = 5.761 Å, b = 6.618 Å, c = 10.221 Å
α = 93.26°, β = 106.37°, γ = 90.00°
Fractional positions:
Nd: 0.346 0.879 0.693
Nd: 0.961 0.748 0.922
Nd: 0.039 0.252 0.078
Nd: 0.154 0.811 0.308
Nd: 0.846 0.189 0.692
Nd: 0.654 0.121 0.307
Nd: 0.422 0.389 0.844
Nd: 0.578 0.611 0.156
Zn: 0.500 0.000 0.000
La: 0.763 0.668 0.526
La: 0.237 0.332 0.474

Results
- Theoretical density: 6.661 Mg/m³
- Raw total energy: -4.49 eV/atom
- Spin magnetization: 0.0 μB per cell